--- P ---
The following is a DFT calculation (PBE) of a relaxed structure of SiRu3Au.

Total magnetic moment, μB/f.u.: 2.0

```
data_SiRu3Au
_symmetry_space_group_name_H-M 'P m -3 m'
_symmetry_Int_Tables_number 221
_symmetry_space_group_name_Hall '-P 4 2 3'
_cell_length_a 4.388
_cell_length_b 4.388
_cell_length_c 4.388
_cell_angle_alpha 90.00
_cell_angle_beta 90.00
_cell_angle_gamma 90.00
loop_
_atom_site_label
_atom_site_type_symbol
_atom_site_fract_x
_atom_site_fract_y
_atom_site_fract_z
Si1 Si 0.000 0.000 0.000
Ru1 Ru 0.000 0.000 0.500
Au1 Au 0.500 0.500 0.500
```

--- Q ---
The following is a DFT calculation (PBE) of a relaxed structure of SiRu3Au.

Total magnetic moment, μB/f.u.: 6.0

```
data_SiRu3Au
_symmetry_space_group_name_H-M 'P m -3 m'
_symmetry_Int_Tables_number 221
_symmetry_space_group_name_Hall '-P 4 2 3'
_cell_length_a 4.860
_cell_length_b 4.860
_cell_length_c 4.860
_cell_angle_alpha 90.00
_cell_angle_beta 90.00
_cell_angle_gamma 90.00
loop_
_atom_site_label
_atom_site_type_symbol
_atom_site_fract_x
_atom_site_fract_y
_atom_site_fract_z
Si1 Si 0.000 0.000 0.000
Ru1 Ru 0.000 0.500 0.500
Au1 Au 0.500 0.500 0.500
```

Here are the energies relative to the best structure, in eV/atom: P 0.000; Q 1.554.